Computed, not measured: crystalline Nd3AlIBr2 at its relaxed geometry at the GGA-PBE level of DFT.

Lattice parameters (Å, degrees): 6.1721 6.1721 6.0331 90.00 90.00 90.00
Fractional positions:
Nd (0.0000, 0.0000, 0.0000)
Nd (0.0000, 0.5000, 0.5000)
Nd (0.5000, 0.0000, 0.5000)
Al (0.0000, 0.0000, 0.5000)
I (0.5000, 0.5000, 0.5000)
Br (0.0000, 0.5000, 0.0000)
Br (0.5000, 0.0000, 0.0000)

VASP energy = -4.3890 eV per atom